{"formula": "RbLaPb2", "functional": "GGA-PBE", "state": "relaxed", "lattice_angstrom": [[3.865, 0.000, 0.000], [0.000, 6.061, 0.000], [0.000, 0.000, 6.061]], "species": ["Pb", "Pb", "La", "Rb"], "frac_coords": [[0.000, 0.000, 0.500], [0.000, 0.500, 0.000], [0.500, 0.000, 0.000], [0.500, 0.500, 0.500]], "energy_ha_per_atom": -0.12965, "sg": "P4/mmm, No. 123", "m_tot_mub_per_atom": 0.000, "relative_energy_mev_per_atom": 135}